The following is a DFT calculation (PBE) of an optimized crystal structure of AcSmAlIr.

Cell and atoms, written as extended XYZ:
```
4
Lattice="0.000 3.716 3.716 3.716 0.000 3.716 3.716 3.716 0.000" Properties=species:S:1:pos:R:3 pbc="T T T"
Ac 0.000 0.000 0.000
Sm 3.716 3.716 3.716
Al 5.574 5.574 5.574
Ir 1.858 1.858 1.858
```

Results
The density comes out at 9.7 g/cm³. The space group is F-43m (216). The density of states at the Fermi level comes out at 3.7 states/eV per cell. For the total energy, the calculation gives -22.6 eV/cell.

***

The following is a DFT calculation (PBE) of an optimized crystal structure of AcTiAlIr2.

Cell and atoms, written as extended XYZ:
```
5
Lattice="-2.083 2.083 5.853 2.083 -2.083 5.853 2.083 2.083 -5.853" Properties=species:S:1:pos:R:3 pbc="T T T"
Ac 0.000 0.000 0.000
Ti 2.083 0.000 2.926
Al 0.000 2.083 2.926
Ir 0.000 0.000 4.442
Ir 0.000 0.000 7.263
```

Results
The density comes out at 11.2 g/cm³. The space group is I-4m2 (119). The density of states at the Fermi level comes out at 4.1 states/eV per cell. For the total energy, the calculation gives -37.6 eV/cell.

***

The following is a DFT calculation (PBE) of an optimized crystal structure of Ac2UAlIr6.

Cell and atoms, written as extended XYZ:
```
10
Lattice="5.565 -2.762 0.000 5.565 2.762 0.000 -4.832 0.000 7.295" Properties=species:S:1:pos:R:3 pbc="T T T"
Ac 1.758 0.000 1.144
Ac 4.540 0.000 6.151
U -2.416 0.000 3.647
Al 5.565 0.000 0.000
Ir 1.775 1.371 5.495
Ir 0.153 0.000 3.886
Ir 4.523 1.371 1.800
Ir 1.775 -1.371 5.495
Ir 6.145 0.000 3.409
Ir 4.523 -1.371 1.800
```

Results
The density comes out at 13.9 g/cm³. The space group is C2/m (12). The density of states at the Fermi level comes out at 5.4 states/eV per cell. For the total energy, the calculation gives -80.9 eV/cell.

***

The following is a DFT calculation (PBE) of an optimized crystal structure of AcYAlIr.

Cell and atoms, written as extended XYZ:
```
4
Lattice="0.000 3.686 3.686 3.686 0.000 3.686 3.686 3.686 0.000" Properties=species:S:1:pos:R:3 pbc="T T T"
Ac 0.000 0.000 0.000
Y 3.686 3.686 3.686
Al 5.528 5.528 5.528
Ir 1.843 1.843 1.843
```

Results
The density comes out at 8.9 g/cm³. The space group is F-43m (216). The density of states at the Fermi level comes out at 4.1 states/eV per cell. For the total energy, the calculation gives -24.5 eV/cell.

***

The following is a DFT calculation (PBE) of an optimized crystal structure of Ac2AlZnIr2.

Cell and atoms, written as extended XYZ:
```
12
Lattice="-2.985 7.843 2.997 2.985 -7.843 2.997 2.985 7.843 -2.997" Properties=species:S:1:pos:R:3 pbc="T T T"
Ac 1.438 2.570 0.000
Ac 1.438 -2.570 2.997
Ac 1.547 10.413 0.000
Ac 1.547 5.274 2.997
Al 2.985 0.000 1.498
Al 0.000 7.843 1.498
Zn 0.000 0.000 1.498
Zn 0.000 0.000 4.495
Ir 4.371 1.597 0.000
Ir 1.386 6.247 0.000
Ir 1.599 1.597 2.997
Ir -1.386 6.247 2.997
```

Results
The density comes out at 11.0 g/cm³. The space group is Ibam (72). The density of states at the Fermi level comes out at 6.1 states/eV per cell. For the total energy, the calculation gives -69.4 eV/cell.

***

The following is a DFT calculation (PBE) of an optimized crystal structure of AcAlZn2Ir.

Cell and atoms, written as extended XYZ:
```
5
Lattice="-2.226 2.277 5.061 2.226 -2.277 5.061 2.226 2.277 -5.061" Properties=species:S:1:pos:R:3 pbc="T T T"
Ac 0.000 0.000 0.000
Al 0.000 0.000 3.701
Zn 0.000 0.000 6.361
Zn 0.000 2.277 2.517
Ir 2.226 0.000 2.569
```

Results
The density comes out at 9.3 g/cm³. The space group is Imm2 (44). The density of states at the Fermi level comes out at 2.8 states/eV per cell. For the total energy, the calculation gives -21.3 eV/cell.

***

The following is a DFT calculation (PBE) of an optimized crystal structure of KAcAl4.

Cell and atoms, written as extended XYZ:
```
6
Lattice="0.000 4.177 4.177 4.177 0.000 4.177 4.177 4.177 0.000" Properties=species:S:1:pos:R:3 pbc="T T T"
K 0.000 0.000 0.000
Ac 2.089 2.089 2.089
Al 5.216 3.138 3.138
Al 3.138 5.216 3.138
Al 3.138 3.138 5.216
Al 5.216 5.216 5.216
```

Results
The density comes out at 4.3 g/cm³. The space group is F-43m (216). The density of states at the Fermi level comes out at 4.0 states/eV per cell. For the total energy, the calculation gives -20.7 eV/cell.

***

The following is a DFT calculation (PBE) of an optimized crystal structure of K3Ac2AlO6.

Cell and atoms, written as extended XYZ:
```
12
Lattice="3.091 -5.387 0.000 3.091 5.387 0.000 -2.010 0.000 6.284" Properties=species:S:1:pos:R:3 pbc="T T T"
K 0.000 0.000 0.000
K 3.091 1.637 0.000
K 3.091 -1.637 0.000
Ac 2.086 3.581 3.142
Ac 2.086 -3.581 3.142
Al 2.086 0.000 3.142
O 1.219 1.509 1.988
O 0.358 0.000 4.260
O 1.219 -1.509 1.988
O 2.953 1.509 4.296
O 3.814 0.000 2.024
O 2.953 -1.509 4.296
```

Results
The density comes out at 5.5 g/cm³. The space group is C2/m (12). The density of states at the Fermi level comes out at 0.0 states/eV per cell. For the total energy, the calculation gives -73.0 eV/cell.

***

The following is a DFT calculation (PBE) of an optimized crystal structure of K2AcAl2O6.

Cell and atoms, written as extended XYZ:
```
11
Lattice="5.568 0.000 0.000 -2.784 4.822 0.000 0.000 0.000 6.409" Properties=species:S:1:pos:R:3 pbc="T T T"
K 0.000 3.215 0.000
K 2.784 1.607 0.000
Ac 0.000 0.000 3.204
Al 0.000 3.215 3.204
Al 2.784 1.607 3.204
O -1.118 1.936 2.149
O -1.666 2.886 4.259
O 2.236 0.000 2.149
O 1.118 1.936 4.259
O 3.333 0.000 4.259
O 1.666 2.886 2.149
```

Results
The density comes out at 4.4 g/cm³. The space group is P-31m (162). The density of states at the Fermi level comes out at 9.2 states/eV per cell. For the total energy, the calculation gives -68.9 eV/cell.

***

The following is a DFT calculation (PBE) of an optimized crystal structure of K3Ac3AlO8.

Cell and atoms, written as extended XYZ:
```
15
Lattice="3.634 2.098 6.372 -3.634 2.098 6.372 0.000 -4.196 6.372" Properties=species:S:1:pos:R:3 pbc="T T T"
K -1.817 -1.049 6.372
K -1.817 1.049 12.744
K 0.000 2.098 6.372
Ac -3.634 0.000 9.558
Ac -1.817 1.049 3.186
Ac 1.817 1.049 3.186
Al 0.000 0.000 9.558
O 0.000 0.000 4.478
O -1.520 -0.878 10.648
O 0.000 -1.755 8.469
O -1.520 0.878 8.469
O 1.520 -0.878 10.648
O 0.000 1.755 10.648
O 1.520 0.878 8.469
O 0.000 0.000 14.639
```

Results
The density comes out at 5.4 g/cm³. The space group is R-3m (166). The density of states at the Fermi level comes out at 10.3 states/eV per cell. For the total energy, the calculation gives -94.7 eV/cell.

***

The following is a DFT calculation (PBE) of an optimized crystal structure of KAc2AlO5.

Cell and atoms, written as extended XYZ:
```
18
Lattice="-3.625 3.625 5.581 3.625 -3.625 5.581 3.625 3.625 -5.581" Properties=species:S:1:pos:R:3 pbc="T T T"
K 0.000 0.000 2.790
K 0.000 0.000 8.371
Ac 4.972 1.347 0.000
Ac 1.347 2.278 0.000
Ac 2.278 1.347 5.581
Ac -1.347 2.278 5.581
Al 3.625 0.000 2.790
Al 0.000 3.625 2.790
O 0.000 0.000 0.000
O 4.564 -0.939 1.591
O 2.686 -0.939 3.990
O 2.686 0.939 1.591
O 4.564 0.939 3.990
O 0.000 0.000 5.581
O -0.939 2.686 1.591
O 0.939 2.686 3.990
O 0.939 4.564 1.591
O -0.939 4.564 3.990
```

Results
The density comes out at 6.8 g/cm³. The space group is I4/mcm (140). The density of states at the Fermi level comes out at 0.0 states/eV per cell. For the total energy, the calculation gives -128.6 eV/cell.

***

The following is a DFT calculation (PBE) of an optimized crystal structure of K3Ac3AlS8.

Cell and atoms, written as extended XYZ:
```
15
Lattice="7.358 -4.241 0.000 7.358 4.241 0.000 -4.908 0.000 7.553" Properties=species:S:1:pos:R:3 pbc="T T T"
K 0.000 0.000 0.000
K 3.679 2.120 0.000
K 3.679 -2.120 0.000
Ac 1.225 2.120 3.777
Ac 1.225 -2.120 3.777
Ac 4.904 0.000 3.777
Al -2.454 0.000 3.777
S -0.364 0.000 5.203
S 3.857 2.432 5.205
S 5.951 2.432 2.349
S 2.453 0.000 2.131
S 7.355 0.000 5.423
S 3.857 -2.432 5.205
S 5.951 -2.432 2.349
S 10.172 0.000 2.351
```

Results
The density comes out at 3.8 g/cm³. The space group is C2/m (12). The density of states at the Fermi level comes out at 19.4 states/eV per cell. For the total energy, the calculation gives -75.4 eV/cell.

***

The following is a DFT calculation (PBE) of an optimized crystal structure of K2AcAlTe4.

Cell and atoms, written as extended XYZ:
```
16
Lattice="6.638 -6.691 0.000 6.638 6.691 0.000 -5.972 0.000 6.606" Properties=species:S:1:pos:R:3 pbc="T T T"
K 0.000 0.000 0.000
K -2.986 0.000 3.303
K 3.319 3.346 0.000
K 0.333 -3.346 3.303
Ac 0.333 3.346 3.303
Ac 3.319 -3.346 0.000
Al 6.638 0.000 0.000
Al 3.652 0.000 3.303
Te 3.618 3.026 3.341
Te 0.700 3.026 6.568
Te 0.742 0.025 3.663
Te 3.728 -0.025 0.360
Te 3.575 0.025 6.246
Te 6.561 -0.025 2.943
Te 6.604 -3.026 0.038
Te 3.686 -3.026 3.265
```

Results
The density comes out at 4.8 g/cm³. The space group is C2/c (15). The density of states at the Fermi level comes out at 0.9 states/eV per cell. For the total energy, the calculation gives -60.7 eV/cell.

***

The following is a DFT calculation (PBE) of an optimized crystal structure of Ac2LaAl.

Cell and atoms, written as extended XYZ:
```
4
Lattice="0.000 4.111 4.111 4.111 0.000 4.111 4.111 4.111 0.000" Properties=species:S:1:pos:R:3 pbc="T T T"
Ac 2.056 2.056 2.056
Ac 6.167 6.167 6.167
La 0.000 0.000 0.000
Al 4.111 4.111 4.111
```

Results
The density comes out at 7.4 g/cm³. The space group is Fm-3m (225). For the polymorph energy (0 for the lowest one), the calculation gives 151 meV per atom. The density of states at the Fermi level comes out at 7.5 states/eV per cell.

***

The following is a DFT calculation (PBE) of an optimized crystal structure of AcLa2Al.

Cell and atoms, written as extended XYZ:
```
4
Lattice="3.797 0.000 0.000 0.000 3.797 0.000 0.000 0.000 9.395" Properties=species:S:1:pos:R:3 pbc="T T T"
Ac 0.000 0.000 0.000
La 1.898 1.898 2.796
La 1.898 1.898 6.600
Al 0.000 0.000 4.698
```

Results
The density comes out at 6.5 g/cm³. The space group is P4/mmm (123). For the polymorph energy (0 for the lowest one), the calculation gives 0 meV per atom. The density of states at the Fermi level comes out at 5.6 states/eV per cell.

***

The following is a DFT calculation (PBE) of an optimized crystal structure of AcLa6Al2.

Cell and atoms, written as extended XYZ:
```
9
Lattice="6.568 -1.985 0.000 6.568 1.985 0.000 -3.981 0.000 11.646" Properties=species:S:1:pos:R:3 pbc="T T T"
Ac 0.000 0.000 0.000
La -0.991 0.000 3.806
La 3.597 0.000 1.474
La 2.464 0.000 4.810
La 6.690 0.000 6.836
La 5.558 0.000 10.172
La 10.146 0.000 7.840
Al 1.375 0.000 9.154
Al 7.780 0.000 2.492
```

Results
The density comes out at 6.1 g/cm³. The space group is C2/m (12). The density of states at the Fermi level comes out at 11.2 states/eV per cell. For the total energy, the calculation gives -42.4 eV/cell.

***

The following is a DFT calculation (PBE) of an optimized crystal structure of Ac2LaAl4.

Cell and atoms, written as extended XYZ:
```
7
Lattice="-2.216 2.315 10.069 2.216 -2.315 10.069 2.216 2.315 -10.069" Properties=species:S:1:pos:R:3 pbc="T T T"
Ac 0.000 0.000 3.729
Ac 0.000 0.000 16.410
La 2.216 0.000 0.000
Al 0.000 0.000 7.399
Al 2.216 0.000 8.796
Al 0.000 2.315 1.273
Al 0.000 0.000 12.740
```

Results
The density comes out at 5.6 g/cm³. The space group is Immm (71). The density of states at the Fermi level comes out at 5.8 states/eV per cell. For the total energy, the calculation gives -30.6 eV/cell.

***

The following is a DFT calculation (PBE) of an optimized crystal structure of Ac2LaAl.

Cell and atoms, written as extended XYZ:
```
4
Lattice="3.952 0.000 0.000 0.000 3.952 0.000 0.000 0.000 9.285" Properties=species:S:1:pos:R:3 pbc="T T T"
Ac 0.000 0.000 1.923
Ac 0.000 0.000 7.362
La 1.976 1.976 4.643
Al 1.976 1.976 0.000
```

Results
The density comes out at 7.1 g/cm³. The space group is P4/mmm (123). For the polymorph energy (0 for the lowest one), the calculation gives 0 meV per atom. The density of states at the Fermi level comes out at 4.5 states/eV per cell.

***

The following is a DFT calculation (PBE) of an optimized crystal structure of AcLa2Al.

Cell and atoms, written as extended XYZ:
```
8
Lattice="5.546 0.000 0.000 0.000 3.711 6.364 0.000 -3.711 6.364" Properties=species:S:1:pos:R:3 pbc="T T T"
Ac 0.000 -1.968 6.364
Ac 0.000 1.968 6.364
La 0.000 0.000 9.783
La 2.773 0.000 5.182
La 2.773 -1.990 8.734
La 2.773 1.990 8.734
Al 0.000 0.000 3.262
Al 2.773 0.000 11.690
```

Results
The density comes out at 6.7 g/cm³. The space group is Amm2 (38). For the polymorph energy (0 for the lowest one), the calculation gives 16 meV per atom. The density of states at the Fermi level comes out at 10.5 states/eV per cell.

***

The following is a DFT calculation (PBE) of an optimized crystal structure of AcLa2Al.

Cell and atoms, written as extended XYZ:
```
4
Lattice="5.039 0.000 0.000 0.000 5.039 0.000 0.000 0.000 5.123" Properties=species:S:1:pos:R:3 pbc="T T T"
Ac 0.000 0.000 0.000
La 0.000 2.519 2.561
La 2.519 0.000 2.561
Al 2.519 2.519 0.000
```

Results
The density comes out at 6.8 g/cm³. The space group is P4/mmm (123). For the polymorph energy (0 for the lowest one), the calculation gives 27 meV per atom. The density of states at the Fermi level comes out at 5.3 states/eV per cell.

***

no.,volume (Å³/cell)
1,102.6
2,101.6
3,224.3
4,100.1
5,280.7
6,102.6
7,145.8
8,209.3
9,172.1
10,291.4
11,293.3
12,471.4
13,586.8
14,139.0
15,135.4
16,303.7
17,206.7
18,145.0
19,261.9
20,130.1